Run 1
Here is a relaxed BaSr2Co crystal from the Alexandria database. Energies are from GGA-PBE.

Unit cell a=3.959 b=6.273 c=12.960 alpha=90.00 beta=90.00 gamma=90.00
Space group Immm (No. 71)
Inequivalent atoms, fractional coordinates:
Ba 0.000 0.000 0.000 (multiplicity 2)
Sr 0.000 0.500 0.175 (multiplicity 4)
Co 0.000 0.000 0.500 (multiplicity 2)



Run 2
Here is a relaxed BaSr2Co crystal from the Alexandria database. Energies are from GGA-PBE.

Unit cell a=7.371 b=12.560 c=4.060 alpha=90.00 beta=117.83 gamma=90.00
Space group C2/m (No. 12)
Inequivalent atoms, fractional coordinates:
Ba 0.000 0.000 0.000 (multiplicity 2)
Sr 0.250 0.250 0.500 (multiplicity 4)
Co 0.000 0.500 0.000 (multiplicity 2)



The structure with the least stability is run 2.



Run 1
Here is a relaxed BaSr2Co crystal from the Alexandria database. Energies are from GGA-PBE.

Unit cell a=8.337 b=8.337 c=11.794 alpha=90.00 beta=90.00 gamma=90.00
Space group I-42d (No. 122)
Inequivalent atoms, fractional coordinates:
Ba 0.000 0.000 0.000 (multiplicity 4)
Sr 0.001 0.250 0.625 (multiplicity 8)
Co 0.000 0.000 0.500 (multiplicity 4)



Run 2
Here is a relaxed BaSr2Co crystal from the Alexandria database. Energies are from GGA-PBE.

Unit cell a=4.252 b=6.070 c=13.679 alpha=90.00 beta=90.00 gamma=90.00
Space group Amm2 (No. 38)
Inequivalent atoms, fractional coordinates:
Ba 0.000 0.000 0.000 (multiplicity 2)
Sr 0.000 0.000 0.296 (multiplicity 2)
Sr 0.500 0.000 0.656 (multiplicity 2)
Co 0.500 0.000 0.148 (multiplicity 2)



The structure with the least stability is run 1.



Run 1
Here is a relaxed BaSr2Co crystal from the Alexandria database. Energies are from GGA-PBE.

Unit cell a=5.325 b=5.325 c=11.115 alpha=90.00 beta=90.00 gamma=90.00
Space group I-4m2 (No. 119)
Inequivalent atoms, fractional coordinates:
Ba 0.000 0.000 0.000 (multiplicity 2)
Sr 0.000 0.000 0.500 (multiplicity 2)
Sr 0.000 0.500 0.250 (multiplicity 2)
Co 0.000 0.500 0.750 (multiplicity 2)



Run 2
Here is a relaxed BaSr2Co crystal from the Alexandria database. Energies are from GGA-PBE.

Unit cell a=12.097 b=4.075 c=7.483 alpha=90.00 beta=115.69 gamma=90.00
Space group Cm (No. 8)
Inequivalent atoms, fractional coordinates:
Ba 0.000 0.000 0.000 (multiplicity 2)
Sr 0.151 0.500 0.671 (multiplicity 2)
Sr 0.333 0.500 0.371 (multiplicity 2)
Co 0.366 0.000 0.682 (multiplicity 2)



Run 3
Here is a relaxed BaSr2Co crystal from the Alexandria database. Energies are from GGA-PBE.

Unit cell a=3.913 b=3.913 c=10.450 alpha=90.00 beta=90.00 gamma=90.00
Space group P4mm (No. 99)
Inequivalent atoms, fractional coordinates:
Ba 0.000 0.000 0.000 (multiplicity 1)
Sr 0.000 0.000 0.341 (multiplicity 1)
Sr 0.500 0.500 0.659 (multiplicity 1)
Co 0.500 0.500 0.177 (multiplicity 1)



Run 4
Here is a relaxed BaSr2Co crystal from the Alexandria database. Energies are from GGA-PBE.

Unit cell a=8.484 b=8.484 c=8.484 alpha=90.00 beta=90.00 gamma=90.00
Space group F-43m (No. 216)
Inequivalent atoms, fractional coordinates:
Ba 0.000 0.000 0.000 (multiplicity 4)
Sr 0.000 0.000 0.500 (multiplicity 4)
Sr 0.250 0.250 0.750 (multiplicity 4)
Co 0.250 0.250 0.250 (multiplicity 4)



The structure with the least stability is run 4.



Run 1
Here is a relaxed BaSr2Co crystal from the Alexandria database. Energies are from GGA-PBE.

Unit cell a=6.202 b=13.214 c=4.290 alpha=90.00 beta=90.00 gamma=90.00
Space group Cmmm (No. 65)
Inequivalent atoms, fractional coordinates:
Ba 0.000 0.000 0.000 (multiplicity 2)
Sr 0.000 0.350 0.500 (multiplicity 4)
Co 0.000 0.500 0.000 (multiplicity 2)



Run 2
Here is a relaxed BaSr2Co crystal from the Alexandria database. Energies are from GGA-PBE.

Unit cell a=5.260 b=5.260 c=11.473 alpha=90.00 beta=90.00 gamma=90.00
Space group I4/mmm (No. 139)
Inequivalent atoms, fractional coordinates:
Ba 0.000 0.000 0.000 (multiplicity 2)
Sr 0.000 0.500 0.250 (multiplicity 4)
Co 0.000 0.000 0.500 (multiplicity 2)



Run 3
Here is a relaxed BaSr2Co crystal from the Alexandria database. Energies are from GGA-PBE.

Unit cell a=5.359 b=5.359 c=5.494 alpha=90.00 beta=90.00 gamma=90.00
Space group P4/mmm (No. 123)
Inequivalent atoms, fractional coordinates:
Ba 0.000 0.000 0.000 (multiplicity 1)
Sr 0.000 0.500 0.500 (multiplicity 2)
Co 0.500 0.500 0.000 (multiplicity 1)



The structure with the least stability is run 2.



Run 1
Here is a relaxed Ba2SrCo crystal from the Alexandria database. Energies are from GGA-PBE.

Unit cell a=6.085 b=14.142 c=4.307 alpha=90.00 beta=90.00 gamma=90.00
Space group Cmmm (No. 65)
Inequivalent atoms, fractional coordinates:
Ba 0.000 0.146 0.000 (multiplicity 4)
Sr 0.000 0.500 0.500 (multiplicity 2)
Co 0.000 0.000 0.500 (multiplicity 2)



Run 2
Here is a relaxed Ba2SrCo crystal from the Alexandria database. Energies are from GGA-PBE.

Unit cell a=3.942 b=3.942 c=10.756 alpha=90.00 beta=90.00 gamma=90.00
Space group P4mm (No. 99)
Inequivalent atoms, fractional coordinates:
Ba 0.000 0.000 0.000 (multiplicity 1)
Ba 0.500 0.500 0.344 (multiplicity 1)
Sr 0.500 0.500 0.675 (multiplicity 1)
Co 0.000 0.000 0.514 (multiplicity 1)



Run 3
Here is a relaxed Ba2SrCo crystal from the Alexandria database. Energies are from GGA-PBE.

Unit cell a=8.475 b=8.475 c=8.475 alpha=90.00 beta=90.00 gamma=90.00
Space group F-43m (No. 216)
Inequivalent atoms, fractional coordinates:
Ba 0.000 0.000 0.000 (multiplicity 4)
Ba 0.250 0.250 0.250 (multiplicity 4)
Sr 0.000 0.000 0.500 (multiplicity 4)
Co 0.250 0.250 0.750 (multiplicity 4)



Run 4
Here is a relaxed Ba2SrCo crystal from the Alexandria database. Energies are from GGA-PBE.

Unit cell a=5.275 b=5.275 c=11.874 alpha=90.00 beta=90.00 gamma=90.00
Space group I-4m2 (No. 119)
Inequivalent atoms, fractional coordinates:
Ba 0.000 0.000 0.000 (multiplicity 2)
Ba 0.000 0.500 0.250 (multiplicity 2)
Sr 0.000 0.000 0.500 (multiplicity 2)
Co 0.000 0.500 0.750 (multiplicity 2)



The structure with the least stability is run 3.



Run 1
Here is a relaxed Ba2SrCo crystal from the Alexandria database. Energies are from GGA-PBE.

Unit cell a=4.004 b=6.367 c=13.167 alpha=90.00 beta=90.00 gamma=90.00
Space group Imm2 (No. 44)
Inequivalent atoms, fractional coordinates:
Ba 0.000 0.000 0.000 (multiplicity 2)
Ba 0.000 0.500 0.173 (multiplicity 2)
Sr 0.000 0.000 0.345 (multiplicity 2)
Co 0.000 0.500 0.672 (multiplicity 2)



Run 2
Here is a relaxed Ba2SrCo crystal from the Alexandria database. Energies are from GGA-PBE.

Unit cell a=8.576 b=8.576 c=12.145 alpha=90.00 beta=90.00 gamma=90.00
Space group I-42d (No. 122)
Inequivalent atoms, fractional coordinates:
Ba 0.004 0.250 0.125 (multiplicity 8)
Sr 0.000 0.000 0.500 (multiplicity 4)
Co 0.000 0.000 0.000 (multiplicity 4)



The structure with the least stability is run 2.



Run 1
Here is a relaxed Ba2TaCo crystal from the Alexandria database. Energies are from GGA-PBE.

Unit cell a=19.591 b=3.386 c=3.775 alpha=90.00 beta=100.83 gamma=90.00
Space group C2/m (No. 12)
Inequivalent atoms, fractional coordinates:
Ba 0.148 0.000 0.145 (multiplicity 4)
Ta 0.000 0.000 0.500 (multiplicity 2)
Co 0.000 0.500 0.000 (multiplicity 2)



Run 2
Here is a relaxed Ba2TaCo crystal from the Alexandria database. Energies are from GGA-PBE.

Unit cell a=3.665 b=5.595 c=12.091 alpha=90.00 beta=90.00 gamma=90.00
Space group Imm2 (No. 44)
Inequivalent atoms, fractional coordinates:
Ba 0.000 0.000 0.000 (multiplicity 2)
Ba 0.000 0.500 0.211 (multiplicity 2)
Ta 0.000 0.500 0.814 (multiplicity 2)
Co 0.000 0.000 0.432 (multiplicity 2)



Run 3
Here is a relaxed Ba2TaCo crystal from the Alexandria database. Energies are from GGA-PBE.

Unit cell a=4.598 b=4.598 c=10.308 alpha=90.00 beta=90.00 gamma=90.00
Space group I4/mmm (No. 139)
Inequivalent atoms, fractional coordinates:
Ba 0.000 0.500 0.250 (multiplicity 4)
Ta 0.000 0.000 0.000 (multiplicity 2)
Co 0.000 0.000 0.500 (multiplicity 2)



Run 4
Here is a relaxed Ba2TaCo crystal from the Alexandria database. Energies are from GGA-PBE.

Unit cell a=6.880 b=9.773 c=3.363 alpha=90.00 beta=90.00 gamma=90.00
Space group Cmmm (No. 65)
Inequivalent atoms, fractional coordinates:
Ba 0.250 0.250 0.000 (multiplicity 4)
Ta 0.000 0.000 0.500 (multiplicity 2)
Co 0.000 0.500 0.500 (multiplicity 2)



The structure with the least stability is run 3.



Run 1
Here is a relaxed Ba2TaCo crystal from the Alexandria database. Energies are from GGA-PBE.

Unit cell a=7.858 b=7.858 c=7.858 alpha=90.00 beta=90.00 gamma=90.00
Space group Fm-3m (No. 225)
Inequivalent atoms, fractional coordinates:
Ba 0.250 0.250 0.250 (multiplicity 8)
Ta 0.000 0.000 0.000 (multiplicity 4)
Co 0.000 0.000 0.500 (multiplicity 4)



Run 2
Here is a relaxed Ba2TaCo crystal from the Alexandria database. Energies are from GGA-PBE.

Unit cell a=4.340 b=4.815 c=5.179 alpha=90.00 beta=90.00 gamma=90.00
Space group Pmmm (No. 47)
Inequivalent atoms, fractional coordinates:
Ba 0.000 0.000 0.000 (multiplicity 1)
Ba 0.500 0.500 0.000 (multiplicity 1)
Ta 0.000 0.500 0.500 (multiplicity 1)
Co 0.500 0.000 0.500 (multiplicity 1)



The structure with the least stability is run 1.